A relaxed TbPrDy5Tm2 crystal, computed with GGA-PBE.

It has space group Cmc2_1 (No. 36), with a = 5.599 Å, b = 19.860 Å, c = 10.504 Å, α = 90.00°, β = 90.00° and γ = 90.00°. The inequivalent atoms are Tb at (0.000, 0.199, 0.000), Pr at (0.000, 0.416, 0.436), Dy at (0.000, 0.017, 0.012), Dy at (0.000, 0.280, 0.300), Dy at (0.000, 0.298, 0.697), Dy at (0.000, 0.388, 0.011), Dy at (0.000, 0.478, 0.724), Tm at (0.000, 0.111, 0.722) and Tm at (0.000, 0.114, 0.307).

The value obtained for the formation energy is 0.164 eV/atom.



A relaxed TbPrDy2Tm5 crystal, computed with GGA-PBE.

It has space group I4/mcm (No. 140), with a = 8.866 Å, b = 8.866 Å, c = 14.604 Å, α = 90.00°, β = 90.00° and γ = 90.00°. The inequivalent atoms are Tb at (0.000, 0.500, 0.250), Pr at (0.000, 0.000, 0.250), Dy at (0.113, 0.387, 0.000), Tm at (0.000, 0.000, 0.000) and Tm at (0.205, 0.295, 0.368).

The value obtained for the formation energy is 0.284 eV/atom.